# ZrScHg2 PBE-GGA relaxed
data_ZrScHg2
_cell_length_a 9.5012
_cell_length_b 3.3648
_cell_length_c 5.9151
_cell_angle_alpha 90.00
_cell_angle_beta 101.54
_cell_angle_gamma 90.00
_space_group_name_H-M_alt 'C 1 2/m 1'
_space_group_IT_number 12
_space_group_name_Hall '-C 2y'
loop_
_atom_site_label
_atom_site_fract_x
_atom_site_fract_y
_atom_site_fract_z
Zr1 0.0000 0.0000 0.0000
Sc1 0.0000 0.5000 0.5000
Hg1 0.2472 0.0000 0.7488
# Energy above the most stable polymorph in this dataset, meV per atom: 134
# Energy of formation from the pure elements, meV per atom: -148
# Size of the total moment, μB/cell: 0.00
# Volume, Å³/cell: 185.28


# Zr2AsO PBE-GGA relaxed
data_Zr2AsO
_cell_length_a 5.4635
_cell_length_b 5.4635
_cell_length_c 10.9971
_cell_angle_alpha 90.00
_cell_angle_beta 90.00
_cell_angle_gamma 90.00
_space_group_name_H-M_alt 'I -4 2 d'
_space_group_IT_number 122
_space_group_name_Hall 'I -4 2bw'
loop_
_atom_site_label
_atom_site_fract_x
_atom_site_fract_y
_atom_site_fract_z
Zr1 0.1724 0.2500 0.1250
As1 0.0000 0.0000 0.5000
O1 0.0000 0.0000 0.0000
# Energy above the most stable polymorph in this dataset, meV per atom: 52
# Size of the total moment, μB/cell: 0.00
# Volume, Å³/cell: 328.27


# SbTe2As PBE-GGA relaxed
data_SbTe2As
_cell_length_a 7.7475
_cell_length_b 7.7475
_cell_length_c 8.6171
_cell_angle_alpha 90.00
_cell_angle_beta 90.00
_cell_angle_gamma 90.00
_space_group_name_H-M_alt 'I -4 2 d'
_space_group_IT_number 122
_space_group_name_Hall 'I -4 2bw'
loop_
_atom_site_label
_atom_site_fract_x
_atom_site_fract_y
_atom_site_fract_z
Sb1 0.0000 0.0000 0.0000
Te1 0.2313 0.7500 0.6250
As1 0.0000 0.0000 0.5000
# Energy above the most stable polymorph in this dataset, meV per atom: 174
# Size of the total moment, μB/cell: 0.00
# Volume, Å³/cell: 517.24


# Ba2CaSb3Pd4 PBE-GGA relaxed
data_Ba2CaSb3Pd4
_cell_length_a 4.7732
_cell_length_b 4.7732
_cell_length_c 11.1801
_cell_angle_alpha 90.00
_cell_angle_beta 90.00
_cell_angle_gamma 90.00
_space_group_name_H-M_alt 'P -4 m 2'
_space_group_IT_number 115
_space_group_name_Hall 'P -4 -2'
loop_
_atom_site_label
_atom_site_fract_x
_atom_site_fract_y
_atom_site_fract_z
Ba1 0.0000 0.5000 0.2321
Ca1 0.0000 0.0000 0.5000
Sb1 0.0000 0.5000 0.8803
Sb2 0.5000 0.5000 0.5000
Pd1 0.0000 0.0000 0.0000
Pd2 0.0000 0.5000 0.6396
Pd3 0.5000 0.5000 0.0000
# Electronic total energy, eV per atom: -4.736
# Size of the total moment, μB/cell: 0.00
# Volume, Å³/cell: 254.72


# Ac3AuN PBE-GGA relaxed
data_Ac3AuN
_cell_length_a 5.2832
_cell_length_b 5.2832
_cell_length_c 5.2832
_cell_angle_alpha 90.00
_cell_angle_beta 90.00
_cell_angle_gamma 90.00
_space_group_name_H-M_alt 'P m -3 m'
_space_group_IT_number 221
_space_group_name_Hall '-P 4 2 3'
loop_
_atom_site_label
_atom_site_fract_x
_atom_site_fract_y
_atom_site_fract_z
Ac1 0.0000 0.0000 0.5000
Au1 0.5000 0.5000 0.5000
N1 0.0000 0.0000 0.0000
# Energy above the most stable polymorph in this dataset, meV per atom: 47
# Size of the total moment, μB/cell: 0.00
# Volume, Å³/cell: 147.46


# BaCaCr PBE-GGA relaxed
data_BaCaCr
_cell_length_a 4.0996
_cell_length_b 4.0996
_cell_length_c 8.1403
_cell_angle_alpha 90.00
_cell_angle_beta 90.00
_cell_angle_gamma 120.00
_space_group_name_H-M_alt 'P 3 m 1'
_space_group_IT_number 156
_space_group_name_Hall 'P 3 -2"'
loop_
_atom_site_label
_atom_site_fract_x
_atom_site_fract_y
_atom_site_fract_z
Ba1 0.0000 0.0000 0.0000
Ca1 0.3333 0.6667 0.4402
Cr1 0.6667 0.3333 0.7013
# Energy above the most stable polymorph in this dataset, meV per atom: 369
# Energy of formation from the pure elements, meV per atom: 689
# Size of the total moment, μB/cell: 4.25
# Volume, Å³/cell: 118.48


# BaAlOs PBE-GGA relaxed
data_BaAlOs
_cell_length_a 6.7570
_cell_length_b 6.7570
_cell_length_c 6.7570
_cell_angle_alpha 90.00
_cell_angle_beta 90.00
_cell_angle_gamma 90.00
_space_group_name_H-M_alt 'F -4 3 m'
_space_group_IT_number 216
_space_group_name_Hall 'F -4 2 3'
loop_
_atom_site_label
_atom_site_fract_x
_atom_site_fract_y
_atom_site_fract_z
Ba1 0.0000 0.0000 0.0000
Al1 0.0000 0.0000 0.5000
Os1 0.2500 0.2500 0.7500
# Energy of formation from the pure elements, meV per atom: 741
# Size of the total moment, μB/cell: 0.00
# Volume, Å³/cell: 308.51


# Ta2H PBE-GGA relaxed
data_Ta2H
_cell_length_a 3.4183
_cell_length_b 4.7641
_cell_length_c 4.8049
_cell_angle_alpha 90.00
_cell_angle_beta 90.00
_cell_angle_gamma 90.00
_space_group_name_H-M_alt 'C 2 2 2'
_space_group_IT_number 21
_space_group_name_Hall 'C 2 2'
loop_
_atom_site_label
_atom_site_fract_x
_atom_site_fract_y
_atom_site_fract_z
Ta1 0.2500 0.2500 0.2363
H1 0.0000 0.5000 0.5000
# Energy above the most stable polymorph in this dataset, meV per atom: 0
# Size of the total moment, μB/cell: 0.00
# Volume, Å³/cell: 78.25


# CaAgI2 PBE-GGA relaxed
data_CaAgI2
_cell_length_a 4.3077
_cell_length_b 4.3077
_cell_length_c 30.8793
_cell_angle_alpha 90.00
_cell_angle_beta 90.00
_cell_angle_gamma 120.00
_space_group_name_H-M_alt 'R -3 m'
_space_group_IT_number 166
_space_group_name_Hall '-R 3 2"'
loop_
_atom_site_label
_atom_site_fract_x
_atom_site_fract_y
_atom_site_fract_z
Ca1 0.0000 0.0000 0.0000
Ag1 0.0000 0.0000 0.5000
I1 0.0000 0.0000 0.3945
# Energy above the most stable polymorph in this dataset, meV per atom: 0
# Size of the total moment, μB/cell: 0.00
# Volume, Å³/cell: 496.24


# Tl2VInMo PBE-GGA relaxed
data_Tl2VInMo
_cell_length_a 5.5106
_cell_length_b 5.5106
_cell_length_c 5.1551
_cell_angle_alpha 90.00
_cell_angle_beta 90.00
_cell_angle_gamma 90.00
_space_group_name_H-M_alt 'P 4/m m m'
_space_group_IT_number 123
_space_group_name_Hall '-P 4 2'
loop_
_atom_site_label
_atom_site_fract_x
_atom_site_fract_y
_atom_site_fract_z
Tl1 0.0000 0.5000 0.0000
V1 0.0000 0.0000 0.5000
In1 0.0000 0.0000 0.0000
Mo1 0.5000 0.5000 0.5000
# Energy of formation from the pure elements, meV per atom: 1876
# Size of the total moment, μB/cell: 5.07
# Volume, Å³/cell: 156.54


# K2SiTe4Pb PBE-GGA relaxed
data_K2SiTe4Pb
_cell_length_a 8.4511
_cell_length_b 9.9929
_cell_length_c 13.1731
_cell_angle_alpha 90.00
_cell_angle_beta 90.00
_cell_angle_gamma 90.00
_space_group_name_H-M_alt 'I m m a'
_space_group_IT_number 74
_space_group_name_Hall '-I 2b 2'
loop_
_atom_site_label
_atom_site_fract_x
_atom_site_fract_y
_atom_site_fract_z
K1 0.0000 0.0000 0.0000
K2 0.2500 0.2500 0.2500
Si1 0.2500 0.2500 0.7500
Te1 0.0000 0.0559 0.7475
Te2 0.2448 0.2500 0.5418
Pb1 0.0000 0.0000 0.5000
# Electronic total energy, eV per atom: -3.356
# Size of the total moment, μB/cell: 0.00
# Volume, Å³/cell: 1112.49


# YSc3 PBE-GGA relaxed
data_YSc3
_cell_length_a 6.7991
_cell_length_b 6.7991
_cell_length_c 5.3011
_cell_angle_alpha 90.00
_cell_angle_beta 90.00
_cell_angle_gamma 120.00
_space_group_name_H-M_alt 'P 63/m m c'
_space_group_IT_number 194
_space_group_name_Hall '-P 6c 2c'
loop_
_atom_site_label
_atom_site_fract_x
_atom_site_fract_y
_atom_site_fract_z
Y1 0.3333 0.6667 0.2500
Sc1 0.1622 0.3244 0.7500
# Energy above the most stable polymorph in this dataset, meV per atom: 0
# Energy of formation from the pure elements, meV per atom: 18
# Size of the total moment, μB/cell: 2.35
# Volume, Å³/cell: 212.23


# K2LiO2 PBE-GGA relaxed
data_K2LiO2
_cell_length_a 4.2620
_cell_length_b 4.2620
_cell_length_c 11.4911
_cell_angle_alpha 90.00
_cell_angle_beta 90.00
_cell_angle_gamma 90.00
_space_group_name_H-M_alt 'I 4/m m m'
_space_group_IT_number 139
_space_group_name_Hall '-I 4 2'
loop_
_atom_site_label
_atom_site_fract_x
_atom_site_fract_y
_atom_site_fract_z
K1 0.0000 0.5000 0.2500
Li1 0.0000 0.0000 0.0000
O1 0.0000 0.0000 0.3805
# Energy above the most stable polymorph in this dataset, meV per atom: 449
# Size of the total moment, μB/cell: 2.00
# Volume, Å³/cell: 208.74


# LuMgTlAg PBE-GGA relaxed
data_LuMgTlAg
_cell_length_a 7.0951
_cell_length_b 7.0951
_cell_length_c 7.0951
_cell_angle_alpha 90.00
_cell_angle_beta 90.00
_cell_angle_gamma 90.00
_space_group_name_H-M_alt 'F -4 3 m'
_space_group_IT_number 216
_space_group_name_Hall 'F -4 2 3'
loop_
_atom_site_label
_atom_site_fract_x
_atom_site_fract_y
_atom_site_fract_z
Lu1 0.0000 0.0000 0.0000
Mg1 0.0000 0.0000 0.5000
Tl1 0.2500 0.2500 0.7500
Ag1 0.2500 0.2500 0.2500
# Energy of formation from the pure elements, meV per atom: -254
# Size of the total moment, μB/cell: 0.00
# Volume, Å³/cell: 357.17


# Tb5Nd2Sm4 PBE-GGA relaxed
data_Tb5Nd2Sm4
_cell_length_a 24.1301
_cell_length_b 3.4825
_cell_length_c 8.8388
_cell_angle_alpha 90.00
_cell_angle_beta 96.63
_cell_angle_gamma 90.00
_space_group_name_H-M_alt 'C 1 2/m 1'
_space_group_IT_number 12
_space_group_name_Hall '-C 2y'
loop_
_atom_site_label
_atom_site_fract_x
_atom_site_fract_y
_atom_site_fract_z
Tb1 0.0000 0.0000 0.0000
Tb2 0.1418 0.5000 0.1179
Tb3 0.2323 0.5000 0.8272
Nd1 0.0906 0.5000 0.7388
Sm1 0.0458 0.5000 0.3591
Sm2 0.1786 0.0000 0.4708
# Energy above the most stable polymorph in this dataset, meV per atom: 0
# Energy of formation from the pure elements, meV per atom: 143
# Size of the total moment, μB/cell: 0.00
# Volume, Å³/cell: 737.80


# Rb2Tl7Au PBE-GGA relaxed
data_Rb2Tl7Au
_cell_length_a 5.4384
_cell_length_b 5.4384
_cell_length_c 12.2383
_cell_angle_alpha 90.00
_cell_angle_beta 90.00
_cell_angle_gamma 90.00
_space_group_name_H-M_alt 'P -4 m 2'
_space_group_IT_number 115
_space_group_name_Hall 'P -4 -2'
loop_
_atom_site_label
_atom_site_fract_x
_atom_site_fract_y
_atom_site_fract_z
Rb1 0.0000 0.5000 0.2376
Tl1 0.0000 0.0000 0.0000
Tl2 0.0000 0.0000 0.5000
Tl3 0.0000 0.5000 0.6370
Tl4 0.0000 0.5000 0.8908
Tl5 0.5000 0.5000 0.5000
Au1 0.5000 0.5000 0.0000
# Energy of formation from the pure elements, meV per atom: -73
# Size of the total moment, μB/cell: 0.00
# Volume, Å³/cell: 361.96


# Pr2Nd2Er5 PBE-GGA relaxed
data_Pr2Nd2Er5
_cell_length_a 15.0279
_cell_length_b 11.9195
_cell_length_c 6.7510
_cell_angle_alpha 90.00
_cell_angle_beta 90.00
_cell_angle_gamma 90.00
_space_group_name_H-M_alt 'I m a 2'
_space_group_IT_number 46
_space_group_name_Hall 'I 2 -2a'
loop_
_atom_site_label
_atom_site_fract_x
_atom_site_fract_y
_atom_site_fract_z
Pr1 0.0000 0.0000 0.0000
Pr2 0.2500 0.0098 0.0975
Nd1 0.1266 0.5044 0.0494
Er1 0.0535 0.7414 0.6963
Er2 0.1419 0.2343 0.8865
Er3 0.2500 0.7449 0.8988
# Energy above the most stable polymorph in this dataset, meV per atom: 0
# Energy of formation from the pure elements, meV per atom: 201
# Size of the total moment, μB/cell: 0.00
# Volume, Å³/cell: 1209.27


# SmHoCO PBE-GGA relaxed
data_SmHoCO
_cell_length_a 3.1739
_cell_length_b 3.3178
_cell_length_c 12.0824
_cell_angle_alpha 90.00
_cell_angle_beta 90.00
_cell_angle_gamma 90.00
_space_group_name_H-M_alt 'I m m 2'
_space_group_IT_number 44
_space_group_name_Hall 'I 2 -2'
loop_
_atom_site_label
_atom_site_fract_x
_atom_site_fract_y
_atom_site_fract_z
Sm1 0.0000 0.0000 0.0000
Ho1 0.0000 0.5000 0.2519
C1 0.0000 0.5000 0.8421
O1 0.0000 0.0000 0.5938
# Electronic total energy, eV per atom: -7.055
# Size of the total moment, μB/cell: 0.00
# Volume, Å³/cell: 127.23


# Tl2PRh PBE-GGA relaxed
data_Tl2PRh
_cell_length_a 3.2141
_cell_length_b 3.2141
_cell_length_c 8.7582
_cell_angle_alpha 90.00
_cell_angle_beta 90.00
_cell_angle_gamma 90.00
_space_group_name_H-M_alt 'P 4 m m'
_space_group_IT_number 99
_space_group_name_Hall 'P 4 -2'
loop_
_atom_site_label
_atom_site_fract_x
_atom_site_fract_y
_atom_site_fract_z
Tl1 0.0000 0.0000 0.0000
Tl2 0.5000 0.5000 0.3718
P1 0.0000 0.0000 0.6365
Rh1 0.5000 0.5000 0.7297
# Energy above the most stable polymorph in this dataset, meV per atom: 39
# Energy of formation from the pure elements, meV per atom: -118
# Size of the total moment, μB/cell: 0.00
# Volume, Å³/cell: 90.48


# RbOsI2 PBE-GGA relaxed
data_RbOsI2
_cell_length_a 8.5716
_cell_length_b 8.5716
_cell_length_c 7.5427
_cell_angle_alpha 90.00
_cell_angle_beta 90.00
_cell_angle_gamma 90.00
_space_group_name_H-M_alt 'I -4 2 d'
_space_group_IT_number 122
_space_group_name_Hall 'I -4 2bw'
loop_
_atom_site_label
_atom_site_fract_x
_atom_site_fract_y
_atom_site_fract_z
Rb1 0.0000 0.0000 0.0000
Os1 0.0000 0.0000 0.5000
I1 0.1371 0.2500 0.6250
# Energy above the most stable polymorph in this dataset, meV per atom: 0
# Size of the total moment, μB/cell: 2.38
# Volume, Å³/cell: 554.18


# V2ZnAs2 PBE-GGA relaxed
data_V2ZnAs2
_cell_length_a 6.9552
_cell_length_b 6.9552
_cell_length_c 3.1156
_cell_angle_alpha 90.00
_cell_angle_beta 90.00
_cell_angle_gamma 90.00
_space_group_name_H-M_alt 'P 4/m b m'
_space_group_IT_number 127
_space_group_name_Hall '-P 4 2ab'
loop_
_atom_site_label
_atom_site_fract_x
_atom_site_fract_y
_atom_site_fract_z
V1 0.1436 0.3564 0.0000
Zn1 0.0000 0.0000 0.5000
As1 0.1496 0.6496 0.5000
# Energy above the most stable polymorph in this dataset, meV per atom: 117
# Energy of formation from the pure elements, meV per atom: -114
# Size of the total moment, μB/cell: 0.00
# Volume, Å³/cell: 150.72


# CoPOs2 PBE-GGA relaxed
data_CoPOs2
_cell_length_a 7.9360
_cell_length_b 2.7714
_cell_length_c 4.8395
_cell_angle_alpha 90.00
_cell_angle_beta 101.10
_cell_angle_gamma 90.00
_space_group_name_H-M_alt 'C 1 2/m 1'
_space_group_IT_number 12
_space_group_name_Hall '-C 2y'
loop_
_atom_site_label
_atom_site_fract_x
_atom_site_fract_y
_atom_site_fract_z
Co1 0.0000 0.0000 0.0000
P1 0.0000 0.5000 0.5000
Os1 0.2444 0.0000 0.7433
# Energy of formation from the pure elements, meV per atom: 240
# Size of the total moment, μB/cell: 2.73
# Volume, Å³/cell: 104.45


# Ba2Co2Br PBE-GGA relaxed
data_Ba2Co2Br
_cell_length_a 8.9093
_cell_length_b 8.9093
_cell_length_c 4.2909
_cell_angle_alpha 90.00
_cell_angle_beta 90.00
_cell_angle_gamma 90.00
_space_group_name_H-M_alt 'P 4/m b m'
_space_group_IT_number 127
_space_group_name_Hall '-P 4 2ab'
loop_
_atom_site_label
_atom_site_fract_x
_atom_site_fract_y
_atom_site_fract_z
Ba1 0.1777 0.3223 0.0000
Co1 0.0837 0.5837 0.5000
Br1 0.0000 0.0000 0.0000
# Energy above the most stable polymorph in this dataset, meV per atom: 153
# Size of the total moment, μB/cell: 6.20
# Volume, Å³/cell: 340.59


# Au7C PBE-GGA relaxed
data_Au7C
_cell_length_a 8.2169
_cell_length_b 8.2169
_cell_length_c 8.2169
_cell_angle_alpha 90.00
_cell_angle_beta 90.00
_cell_angle_gamma 90.00
_space_group_name_H-M_alt 'F m -3 m'
_space_group_IT_number 225
_space_group_name_Hall '-F 4 2 3'
loop_
_atom_site_label
_atom_site_fract_x
_atom_site_fract_y
_atom_site_fract_z
Au1 0.0000 0.0000 0.0000
Au2 0.0000 0.2500 0.2500
C1 0.0000 0.0000 0.5000
# Energy of formation from the pure elements, meV per atom: 744
# Size of the total moment, μB/cell: 0.27
# Volume, Å³/cell: 554.78


# DyHo2Pd PBE-GGA relaxed
data_DyHo2Pd
_cell_length_a 3.7553
_cell_length_b 12.2380
_cell_length_c 9.3074
_cell_angle_alpha 90.00
_cell_angle_beta 90.00
_cell_angle_gamma 90.00
_space_group_name_H-M_alt 'C m c m'
_space_group_IT_number 63
_space_group_name_Hall '-C 2c 2'
loop_
_atom_site_label
_atom_site_fract_x
_atom_site_fract_y
_atom_site_fract_z
Dy1 0.0000 0.0624 0.2500
Ho1 0.0000 0.3652 0.0602
Pd1 0.0000 0.2382 0.7500
# Energy above the most stable polymorph in this dataset, meV per atom: 20
# Energy of formation from the pure elements, meV per atom: -459
# Size of the total moment, μB/cell: 0.00
# Volume, Å³/cell: 427.74